# Pm4Ho3Tm8 GGA-PBE optimized geometry
# Spin magnetization: 0.000 μB per atom
# Formation enthalpy at 0 K: 0.380 eV per atom
# Polymorph energy (0 for the lowest one): 0.2554 eV/atom
# ρ: 8.18 g/cm³
data_Pm4Ho3Tm8
_chemical_formula_sum 'Pm4 Ho3 Tm8'
_cell_length_a 6.682
_cell_length_b 9.242
_cell_length_c 9.242
_cell_angle_alpha 87.77
_cell_angle_beta 111.32
_cell_angle_gamma 111.32
_symmetry_space_group_name_H-M 'P 1'
_symmetry_Int_Tables_number 1
_symmetry_space_group_name_Hall 'P 1'
loop_
_atom_site_label
_atom_site_type_symbol
_atom_site_fract_x
_atom_site_fract_y
_atom_site_fract_z
Pm1 Pm 0.500 0.000 0.000
Pm2 Pm 0.000 0.500 0.000
Pm3 Pm 0.000 0.000 0.000
Pm4 Pm 0.000 0.000 0.500
Ho1 Ho 0.500 0.500 0.000
Ho2 Ho 0.500 0.000 0.500
Ho3 Ho 0.500 0.500 0.500
Tm1 Tm 0.524 0.267 0.267
Tm2 Tm 0.000 0.636 0.364
Tm3 Tm 0.005 0.269 0.269
Tm4 Tm 0.500 0.746 0.254
Tm5 Tm 0.500 0.254 0.746
Tm6 Tm 0.995 0.731 0.731
Tm7 Tm 0.000 0.364 0.636
Tm8 Tm 0.476 0.733 0.733



# HfCdAu GGA-PBE optimized geometry
# Spin magnetization: 0.000 μB per atom
# Formation enthalpy at 0 K: -0.355 eV per atom
# ρ: 13.17 g/cm³
data_HfCdAu
_chemical_formula_sum 'Hf2 Cd2 Au2'
_cell_length_a 3.342
_cell_length_b 3.342
_cell_length_c 11.009
_cell_angle_alpha 90.00
_cell_angle_beta 90.00
_cell_angle_gamma 90.00
_symmetry_space_group_name_H-M 'P 1'
_symmetry_Int_Tables_number 1
_symmetry_space_group_name_Hall 'P 1'
loop_
_atom_site_label
_atom_site_type_symbol
_atom_site_fract_x
_atom_site_fract_y
_atom_site_fract_z
Hf1 Hf 0.872 0.291 0.166
Hf2 Hf 0.372 0.791 0.346
Cd1 Cd 0.873 0.291 0.848
Cd2 Cd 0.373 0.791 0.664
Au1 Au 0.872 0.291 0.496
Au2 Au 0.372 0.791 0.016



# NdSm2DyTm4 GGA-PBE optimized geometry
# Spin magnetization: 0.000 μB per atom
# Formation enthalpy at 0 K: 0.019 eV per atom
# ρ: 8.43 g/cm³
data_NdSm2DyTm4
_chemical_formula_sum 'Nd2 Sm4 Dy2 Tm8'
_cell_length_a 7.113
_cell_length_b 12.243
_cell_length_c 12.251
_cell_angle_alpha 146.26
_cell_angle_beta 106.88
_cell_angle_gamma 90.00
_symmetry_space_group_name_H-M 'P 1'
_symmetry_Int_Tables_number 1
_symmetry_space_group_name_Hall 'P 1'
loop_
_atom_site_label
_atom_site_type_symbol
_atom_site_fract_x
_atom_site_fract_y
_atom_site_fract_z
Nd1 Nd 0.000 0.500 0.000
Nd2 Nd 0.000 0.500 0.500
Sm1 Sm 0.500 0.000 0.000
Sm2 Sm 0.500 0.000 0.500
Sm3 Sm 0.000 0.000 0.500
Sm4 Sm 0.500 0.500 0.000
Dy1 Dy 0.500 0.500 0.500
Dy2 Dy 0.000 0.000 0.000
Tm1 Tm 0.250 0.751 0.000
Tm2 Tm 0.749 0.250 0.499
Tm3 Tm 0.251 0.750 0.501
Tm4 Tm 0.750 0.249 0.000
Tm5 Tm 0.750 0.750 0.999
Tm6 Tm 0.750 0.750 0.501
Tm7 Tm 0.250 0.250 0.499
Tm8 Tm 0.250 0.250 0.001



# PmPr4Sm GGA-PBE optimized geometry
# Spin magnetization: 0.000 μB per atom
# Formation enthalpy at 0 K: 0.276 eV per atom
# Polymorph energy (0 for the lowest one): 0.2209 eV/atom
# ρ: 6.37 g/cm³
data_PmPr4Sm
_chemical_formula_sum 'Pm2 Pr8 Sm2'
_cell_length_a 8.932
_cell_length_b 6.973
_cell_length_c 8.675
_cell_angle_alpha 113.70
_cell_angle_beta 67.02
_cell_angle_gamma 90.00
_symmetry_space_group_name_H-M 'P 1'
_symmetry_Int_Tables_number 1
_symmetry_space_group_name_Hall 'P 1'
loop_
_atom_site_label
_atom_site_type_symbol
_atom_site_fract_x
_atom_site_fract_y
_atom_site_fract_z
Pm1 Pm 0.188 0.234 0.468
Pm2 Pm 0.812 0.766 0.532
Pr1 Pr 0.812 0.202 0.404
Pr2 Pr 0.562 0.372 0.233
Pr3 Pr 0.000 0.259 0.000
Pr4 Pr 0.438 0.138 0.767
Pr5 Pr 0.188 0.798 0.596
Pr6 Pr 0.438 0.628 0.767
Pr7 Pr 0.000 0.741 0.000
Pr8 Pr 0.562 0.862 0.233
Sm1 Sm 0.777 0.405 0.809
Sm2 Sm 0.223 0.595 0.191



# Na3Ce2AgS6 GGA-PBE optimized geometry
# DFT total energy: -5.00 eV/atom
# Spin magnetization: 0.000 μB per atom
# ρ: 3.88 g/cm³
data_Na3Ce2AgS6
_chemical_formula_sum 'Na3 Ce2 Ag1 S6'
_cell_length_a 6.943
_cell_length_b 6.943
_cell_length_c 7.047
_cell_angle_alpha 99.63
_cell_angle_beta 99.63
_cell_angle_gamma 119.68
_symmetry_space_group_name_H-M 'P 1'
_symmetry_Int_Tables_number 1
_symmetry_space_group_name_Hall 'P 1'
loop_
_atom_site_label
_atom_site_type_symbol
_atom_site_fract_x
_atom_site_fract_y
_atom_site_fract_z
Na1 Na 0.160 0.840 0.500
Na2 Na 0.840 0.160 0.500
Na3 Na 0.500 0.500 0.500
Ce1 Ce 0.333 0.667 0.000
Ce2 Ce 0.667 0.333 0.000
Ag1 Ag 0.000 0.000 0.000
S1 S 0.923 0.576 0.771
S2 S 0.728 0.728 0.232
S3 S 0.077 0.424 0.229
S4 S 0.576 0.923 0.771
S5 S 0.272 0.272 0.768
S6 S 0.424 0.077 0.229



# NbCd2RuN GGA-PBE optimized geometry
# DFT total energy: -5.41 eV/atom
# Spin magnetization: 0.000 μB per atom
# ρ: 8.57 g/cm³
data_NbCd2RuN
_chemical_formula_sum 'Nb1 Cd2 Ru1 N1'
_cell_length_a 4.523
_cell_length_b 4.099
_cell_length_c 4.523
_cell_angle_alpha 90.00
_cell_angle_beta 90.00
_cell_angle_gamma 90.00
_symmetry_space_group_name_H-M 'P 1'
_symmetry_Int_Tables_number 1
_symmetry_space_group_name_Hall 'P 1'
loop_
_atom_site_label
_atom_site_type_symbol
_atom_site_fract_x
_atom_site_fract_y
_atom_site_fract_z
Ru1 Ru 0.500 0.500 0.500
Nb1 Nb 0.000 0.500 0.000
N1 N 0.000 0.000 0.000
Cd1 Cd 0.000 0.000 0.500
Cd2 Cd 0.500 0.000 0.000



# MgZr3Rh GGA-PBE optimized geometry
# Spin magnetization: 0.000 μB per atom
# Formation enthalpy at 0 K: 0.207 eV per atom
# Polymorph energy (0 for the lowest one): 0.0000 eV/atom
# ρ: 5.14 g/cm³
data_MgZr3Rh
_chemical_formula_sum 'Mg1 Zr3 Rh1'
_cell_length_a 5.058
_cell_length_b 5.058
_cell_length_c 5.058
_cell_angle_alpha 90.00
_cell_angle_beta 90.00
_cell_angle_gamma 90.00
_symmetry_space_group_name_H-M 'P 1'
_symmetry_Int_Tables_number 1
_symmetry_space_group_name_Hall 'P 1'
loop_
_atom_site_label
_atom_site_type_symbol
_atom_site_fract_x
_atom_site_fract_y
_atom_site_fract_z
Mg1 Mg 0.500 0.500 0.500
Rh1 Rh 0.000 0.000 0.000
Zr1 Zr 0.000 0.500 0.000
Zr2 Zr 0.000 0.000 0.500
Zr3 Zr 0.500 0.000 0.000



# Ba2MnTe GGA-PBE optimized geometry
# DFT total energy: -4.35 eV/atom
# Spin magnetization: 0.869 μB per atom
# ρ: 4.39 g/cm³
data_Ba2MnTe
_chemical_formula_sum 'Ba2 Mn1 Te1'
_cell_length_a 4.961
_cell_length_b 4.961
_cell_length_c 7.029
_cell_angle_alpha 90.00
_cell_angle_beta 90.00
_cell_angle_gamma 90.00
_symmetry_space_group_name_H-M 'P 1'
_symmetry_Int_Tables_number 1
_symmetry_space_group_name_Hall 'P 1'
loop_
_atom_site_label
_atom_site_type_symbol
_atom_site_fract_x
_atom_site_fract_y
_atom_site_fract_z
Ba1 Ba 0.000 0.000 0.880
Ba2 Ba 0.500 0.500 0.370
Mn1 Mn 0.000 0.000 0.380
Te1 Te 0.500 0.500 0.870



Copy entry 2 word for word.
# HfCdAu GGA-PBE optimized geometry
# Spin magnetization: 0.000 μB per atom
# Formation enthalpy at 0 K: -0.355 eV per atom
# ρ: 13.17 g/cm³
data_HfCdAu
_chemical_formula_sum 'Hf2 Cd2 Au2'
_cell_length_a 3.342
_cell_length_b 3.342
_cell_length_c 11.009
_cell_angle_alpha 90.00
_cell_angle_beta 90.00
_cell_angle_gamma 90.00
_symmetry_space_group_name_H-M 'P 1'
_symmetry_Int_Tables_number 1
_symmetry_space_group_name_Hall 'P 1'
loop_
_atom_site_label
_atom_site_type_symbol
_atom_site_fract_x
_atom_site_fract_y
_atom_site_fract_z
Hf1 Hf 0.872 0.291 0.166
Hf2 Hf 0.372 0.791 0.346
Cd1 Cd 0.873 0.291 0.848
Cd2 Cd 0.373 0.791 0.664
Au1 Au 0.872 0.291 0.496
Au2 Au 0.372 0.791 0.016